No. 1
Crystalline MnTlW2 at its relaxed geometry. Source: the Alexandria database, functional GGA-PBE.

* crystal system: tetragonal
* total DFT energy (no corrections): -35.3 eV/f.u.
* calculated formation energy: 0.539 eV/atom
* D(E_F): 2.64 states/eV/cell
* M_tot: 3.2 μB/cell
* energy above the lowest structure with this stoichiometry: 2 kJ/mol of formula units

a = 3.2597 Å, b = 3.2597 Å, c = 6.5027 Å
α = 90.00°, β = 90.00°, γ = 90.00°
Closest atoms and distances in Å follow each position.
Sites, in units of the cell vectors:
Mn (0.0000, 0.0000, 0.4703)  5 W 2.70-2.80, 4 Tl 2.88
Tl (0.5000, 0.5000, 0.7365)  4 Mn 2.88, 5 W 3.03-3.14
W (0.0000, 0.0000, 0.0401)  4 W 2.69, 1 Mn 2.80
W (0.5000, 0.5000, 0.2531)  4 W 2.69, 4 Mn 2.70

No. 2
Crystalline MnTl2W at its relaxed geometry. Source: the Alexandria database, functional GGA-PBE.

* crystal system: monoclinic
* total DFT energy (no corrections): -23.3 eV/f.u.
* calculated formation energy: 0.886 eV/atom
* D(E_F): 2.11 states/eV/cell
* M_tot: 3.6 μB/cell
* energy above the lowest structure with this stoichiometry: 128 kJ/mol of formula units

a = 5.0700 Å, b = 5.0700 Å, c = 5.4671 Å
α = 79.62°, β = 79.62°, γ = 34.68°
Closest atoms and distances in Å follow each position.
Sites, in units of the cell vectors:
Mn (0.7500, 0.7500, 0.7500)  6 Tl 2.95-3.01, 2 Mn 3.02, 4 W 3.12
Tl (0.0015, 0.0015, 0.0006)  3 Mn 2.95-3.01, 3 W 2.97-2.98, 6 Tl 3.02-3.13
Tl (0.4985, 0.4985, 0.4994)  3 Mn 2.95-3.01, 3 W 2.97-2.98, 6 Tl 3.02-3.13
W (0.2500, 0.2500, 0.2500)  6 Tl 2.97-2.98, 2 W 3.02, 4 Mn 3.12

No. 3
Crystalline MnTlW2 at its relaxed geometry. Source: the Alexandria database, functional GGA-PBE.

* crystal system: tetragonal
* total DFT energy (no corrections): -34.5 eV/f.u.
* calculated formation energy: 0.723 eV/atom
* D(E_F): 2.41 states/eV/cell
* M_tot: 2.8 μB/cell
* energy above the lowest structure with this stoichiometry: 73 kJ/mol of formula units

a = 4.8473 Å, b = 4.8473 Å, c = 4.8473 Å
α = 129.02°, β = 129.02°, γ = 74.97°
Closest atoms and distances in Å follow each position.
Sites, in units of the cell vectors:
Mn (0.5000, 0.5000, 0.0000)  4 Tl 2.84, 8 W 2.84-2.95
Tl (0.7500, 0.2500, 0.5000)  4 Mn 2.84, 8 W 2.84-2.95
W (0.0000, 0.0000, 0.0000)  4 Tl 2.84, 4 W 2.84, 4 Mn 2.95
W (0.2500, 0.7500, 0.5000)  4 W 2.84, 4 Mn 2.84, 4 Tl 2.95

No. 4
Crystalline MnTlW4 at its relaxed geometry. Source: the Alexandria database, functional GGA-PBE.

* crystal system: cubic
* total DFT energy (no corrections): -58.7 eV/f.u.
* calculated formation energy: 0.778 eV/atom
* D(E_F): 5.27 states/eV/cell
* M_tot: 2.5 μB/cell

a = 5.3390 Å, b = 5.3390 Å, c = 5.3390 Å
α = 60.00°, β = 60.00°, γ = 60.00°
Closest atoms and distances in Å follow each position.
Sites, in units of the cell vectors:
Mn (0.2500, 0.2500, 0.2500)  12 W 3.13, 4 Tl 3.27
Tl (0.0000, 0.0000, 0.0000)  12 W 3.13, 4 Mn 3.27
W (0.6251, 0.6251, 0.1247)  6 W 2.67
W (0.6251, 0.1247, 0.6251)  6 W 2.67
W (0.6251, 0.6251, 0.6251)  6 W 2.67
W (0.1247, 0.6251, 0.6251)  6 W 2.67

No. 5
Crystalline Mn2TlW2 at its relaxed geometry. Source: the Alexandria database, functional GGA-PBE.

* crystal system: tetragonal
* total DFT energy (no corrections): -43.8 eV/f.u.
* calculated formation energy: 0.557 eV/atom
* D(E_F): 3.81 states/eV/cell
* M_tot: 0.0 μB/cell

a = 4.0843 Å, b = 4.0843 Å, c = 5.7903 Å
α = 69.35°, β = 69.35°, γ = 90.00°
Closest atoms and distances in Å follow each position.
Sites, in units of the cell vectors:
Tl (0.0000, 0.0000, 0.0000)  8 Mn 3.11, 8 W 3.24
Mn (0.3852, 0.3852, 0.2296)  1 Mn 2.30, 4 W 2.45
Mn (0.6148, 0.6148, 0.7704)  1 Mn 2.30, 4 W 2.45
W (0.7500, 0.2500, 0.5000)  4 Mn 2.45
W (0.2500, 0.7500, 0.5000)  4 Mn 2.45

No. 6
Crystalline MnTlW2 at its relaxed geometry. Source: the Alexandria database, functional GGA-PBE.

* crystal system: orthorhombic
* total DFT energy (no corrections): -34.9 eV/f.u.
* calculated formation energy: 0.631 eV/atom
* D(E_F): 2.83 states/eV/cell
* M_tot: 2.1 μB/cell
* energy above the lowest structure with this stoichiometry: 37 kJ/mol of formula units

a = 5.3349 Å, b = 5.3349 Å, c = 4.4285 Å
α = 65.48°, β = 65.48°, γ = 35.69°
Closest atoms and distances in Å follow each position.
Sites, in units of the cell vectors:
Mn (0.2500, 0.2500, 0.2500)  4 W 2.71, 4 Tl 2.75
Tl (0.7500, 0.7500, 0.7500)  4 Mn 2.75, 4 W 2.91
W (0.9861, 0.9861, 0.0139)  2 Mn 2.71, 4 W 2.76, 2 Tl 2.91
W (0.5139, 0.5139, 0.4861)  2 Mn 2.71, 4 W 2.76, 2 Tl 2.91